A plane-wave DFT calculation with PBE-GGA was carried out for BaAgPb2 after structural relaxation.

The space group is I-4m2 (No. 119) and the conventional cell measures 5.210, 5.210 and 9.369 Å, with angles of 90.00, 90.00 and 90.00 degrees. Symmetry generates all atoms from Ba at (0.000, 0.000, 0.000), Ag at (0.000, 0.500, 0.250), Pb at (0.000, 0.000, 0.500) and Pb at (0.000, 0.500, 0.750).

As for the uncorrected energy: -13.03 eV per formula unit.